(1)
YLuZnIr PBE-GGA optimized geometry; space-group type = No. 216; final energy = -5.940 eV per atom; ΔE_f = -0.660 eV per atom
1.0
-3.273 -2.556 2.565
1.323 -2.175 4.165
-1.629 1.711 4.272
Y Zn Ir Lu
1 1 1 1
Direct
0.000 0.000 0.000 Y
0.750 0.750 0.750 Zn
0.250 0.250 0.250 Ir
0.500 0.500 0.500 Lu


(2)
PrDy6Te8 PBE-GGA optimized geometry; space-group type = No. 148; final energy = -5.069 eV per atom; energy relative to the lowest polymorph listed for this composition = 0.1379 eV/atom; ΔE_f (raw) = -28.45 kcal/mol of atoms
1.0
-1.617 7.544 -2.759
-7.339 2.527 2.626
0.820 5.512 6.007
Pr Dy Te
1 6 8
Direct
0.000 0.000 0.000 Pr
0.549 0.306 0.922 Dy
0.306 0.922 0.549 Dy
0.922 0.549 0.306 Dy
0.451 0.694 0.078 Dy
0.694 0.078 0.451 Dy
0.078 0.451 0.694 Dy
0.675 0.675 0.675 Te
0.325 0.325 0.325 Te
0.625 0.899 0.193 Te
0.899 0.193 0.625 Te
0.193 0.625 0.899 Te
0.375 0.101 0.807 Te
0.101 0.807 0.375 Te
0.807 0.375 0.101 Te


(3)
PmTm4Zr PBE-GGA optimized geometry; space-group type = No. 25; final energy = -5.032 eV per atom; ΔE_f = 0.165 eV per atom
1.0
-3.238 3.776 1.944
-2.624 -1.440 -1.574
-1.721 -5.578 7.971
Pm Tm Zr
1 4 1
Direct
0.997 0.417 0.502 Pm
0.997 0.418 0.838 Tm
0.997 0.418 0.166 Tm
0.497 0.918 0.310 Tm
0.497 0.918 0.694 Tm
0.497 0.419 0.002 Zr


(4)
Cs7Rb3Pd PBE-GGA optimized geometry; space-group type = No. 8; final energy = -1.258 eV per atom; ΔE_f = 0.021 eV per atom
1.0
7.077 6.095 0.044
-7.077 6.095 0.044
0.000 6.047 12.167
Cs Rb Pd
7 3 1
Direct
0.264 0.264 0.077 Cs
0.047 0.704 0.221 Cs
0.321 0.975 0.826 Cs
0.704 0.047 0.221 Cs
0.420 0.420 0.395 Cs
0.975 0.321 0.826 Cs
0.763 0.763 0.959 Cs
0.179 0.837 0.526 Rb
0.606 0.606 0.651 Rb
0.837 0.179 0.526 Rb
0.010 0.010 0.023 Pd


(5)
TiNiTeI2 PBE-GGA optimized geometry; space-group type = No. 123; final energy = -3.469 eV per atom; energy relative to the lowest polymorph listed for this composition = 0.0486 eV/atom; ΔE_f (raw) = 11.87 kcal/mol of atoms
1.0
5.101 0.000 0.000
0.000 5.101 0.000
0.000 0.000 5.208
I Ni Te Ti
2 1 1 1
Direct
0.000 0.500 0.000 I
0.500 0.000 0.000 I
0.000 0.000 0.000 Ni
0.000 0.000 0.500 Te
0.500 0.500 0.500 Ti


Theoretical density (computed, Mg/m³): 10.5, 7.6, 8.5, 2.1, 6.0